PBE with a Hubbard U SrMg6NiO8, relaxed; M_tot = 2.0 μB/cell; electronic total energy = -0.20842 Ha/atom; DOS(E_F) = 0.00 states/eV per atom
1.0
4.4822 0.0000 0.0000
0.0000 4.4822 0.0000
0.0000 0.0000 8.6953
O Mg Sr Ni
8 6 1 1
Cartesian
0.0000 0.0000 6.7199
2.2411 0.0000 4.3477
0.0000 2.2411 0.0000
0.0000 0.0000 1.9755
0.0000 2.2411 4.3477
2.2411 2.2411 2.1566
2.2411 2.2411 6.5387
2.2411 0.0000 0.0000
2.2411 2.2411 0.0000
0.0000 2.2411 6.6253
2.2411 0.0000 2.0701
2.2411 2.2411 4.3477
0.0000 2.2411 2.0701
2.2411 0.0000 6.6253
0.0000 0.0000 4.3477
0.0000 0.0000 0.0000